# 1
{"formula": "NaNi2Hg2", "functional": "PBE-GGA", "state": "optimized geometry", "total_magnetization_mub_per_atom": 0.000, "e_above_lowest_polymorph_ev_per_atom": 0.0000, "formation_energy_ev_per_atom": 0.090, "sg": "P4/mbm", "total_energy_ev_per_atom": -2.61, "dos_ef_per_ev_atom": 0.47, "lattice": [[7.7056, 0.0000, 0.0000], [0.0000, 7.7056, 0.0000], [0.0000, 0.0000, 2.9636]], "species": ["Na", "Na", "Ni", "Ni", "Ni", "Ni", "Hg", "Hg", "Hg", "Hg"], "frac_coords": [[0.0000, 0.0000, 0.0000], [0.5000, 0.5000, 0.0000], [0.1134, 0.3866, 0.0000], [0.3866, 0.8866, 0.0000], [0.6134, 0.1134, 0.0000], [0.8866, 0.6134, 0.0000], [0.1803, 0.6803, 0.5000], [0.3197, 0.1803, 0.5000], [0.6803, 0.8197, 0.5000], [0.8197, 0.3197, 0.5000]]}

***

# 2
{"formula": "NaNi2Hg", "functional": "PBE-GGA", "state": "optimized geometry", "total_magnetization_mub_per_atom": 0.170, "formation_energy_ev_per_atom": 0.474, "sg": "I-42d", "total_energy_ev_per_atom": -2.82, "dos_ef_per_ev_atom": 1.00, "lattice": [[-2.1261, 2.1261, 9.2776], [2.1261, -2.1261, 9.2776], [2.1261, 2.1261, -9.2776]], "species": ["Na", "Na", "Ni", "Ni", "Ni", "Ni", "Hg", "Hg"], "frac_coords": [[0.0000, 0.0000, 0.0000], [0.7500, 0.2500, 0.5000], [0.2793, 0.6250, 0.1543], [0.3750, 0.5293, 0.6543], [0.4707, 0.1250, 0.8457], [0.8750, 0.7207, 0.3457], [0.2500, 0.7500, 0.5000], [0.5000, 0.5000, 0.0000]]}

***

# 3
{"formula": "NaNi2Hg2", "functional": "PBE-GGA", "state": "optimized geometry", "total_magnetization_mub_per_atom": 0.000, "e_above_lowest_polymorph_ev_per_atom": 0.0731, "formation_energy_ev_per_atom": 0.163, "sg": "I4/mmm", "total_energy_ev_per_atom": -2.53, "dos_ef_per_ev_atom": 0.79, "lattice": [[-1.8600, 1.8600, 6.7865], [1.8600, -1.8600, 6.7865], [1.8600, 1.8600, -6.7865]], "species": ["Na", "Ni", "Ni", "Hg", "Hg"], "frac_coords": [[0.0000, 0.0000, 0.0000], [0.2500, 0.7500, 0.5000], [0.7500, 0.2500, 0.5000], [0.3894, 0.3894, 0.0000], [0.6106, 0.6106, 0.0000]]}

***

# 4
{"formula": "Na2NiHg2", "functional": "PBE-GGA", "state": "optimized geometry", "total_magnetization_mub_per_atom": 0.110, "e_above_lowest_polymorph_ev_per_atom": 0.3552, "formation_energy_ev_per_atom": 0.393, "sg": "I4/mmm", "total_energy_ev_per_atom": -1.41, "dos_ef_per_ev_atom": 1.49, "lattice": [[-2.0209, 2.0209, 8.4030], [2.0209, -2.0209, 8.4030], [2.0209, 2.0209, -8.4030]], "species": ["Na", "Na", "Ni", "Hg", "Hg"], "frac_coords": [[0.0892, 0.0892, 0.0000], [0.9108, 0.9108, 0.0000], [0.5000, 0.5000, 0.0000], [0.2500, 0.7500, 0.5000], [0.7500, 0.2500, 0.5000]]}